Density functional theory data (meta-GGA SCAN) for LaMg2Pb at its PBEsol-relaxed geometry.

The structure in POSCAR format:
```
LaMg2Pb
1.0
4.672 0.000 0.000
0.000 4.672 0.000
0.000 0.000 4.916
Mg La Pb
2 1 1
Direct
0.000 0.500 0.000
0.500 0.000 0.000
0.000 0.000 0.500
0.500 0.500 0.500
```

The calculation puts the electronic total energy at -32.663 eV per atom.

---

Density functional theory data (meta-GGA SCAN) for LaMg2Pb at its PBEsol-relaxed geometry.

The structure in POSCAR format:
```
LaMg2Pb
1.0
-2.949 1.460 -0.544
-1.985 -3.159 2.288
0.816 3.933 6.138
Mg Pb La
2 1 1
Direct
0.000 0.000 0.040
0.500 0.500 0.247
0.000 0.000 0.469
0.500 0.500 0.744
```

The calculation puts the electronic total energy at -32.527 eV per atom.

---

Density functional theory data (meta-GGA SCAN) for LaMg2Pb at its PBEsol-relaxed geometry.

The structure in POSCAR format:
```
LaMg2Pb
1.0
-3.211 -0.895 -0.556
-0.808 -1.759 -2.770
0.330 -10.276 4.367
Pb La Mg
1 1 2
Direct
0.500 0.500 0.500
0.000 0.000 0.000
0.244 0.244 0.267
0.756 0.756 0.733
```

The calculation puts the electronic total energy at -32.277 eV per atom.

---

Density functional theory data (meta-GGA SCAN) for LaMg3Pb at its PBEsol-relaxed geometry.

The structure in POSCAR format:
```
LaMg3Pb
1.0
5.774 0.000 0.000
0.000 5.774 0.000
0.000 0.000 5.774
Mg Pb La
3 1 1
Direct
0.000 0.000 0.500
0.500 0.000 0.000
0.000 0.500 0.000
0.500 0.500 0.500
0.000 0.000 0.000
```

The calculation puts the electronic total energy at -25.654 eV per atom.

---

Density functional theory data (meta-GGA SCAN) for LaMgPb2 at its PBEsol-relaxed geometry.

The structure in POSCAR format:
```
LaMgPb2
1.0
-3.716 1.370 2.227
-2.539 -0.787 -3.752
2.257 -5.325 2.407
Pb Mg La
2 1 1
Direct
0.003 0.003 0.005
0.749 0.249 0.498
0.250 0.750 0.499
0.499 0.499 0.997
```

The calculation puts the electronic total energy at -50.435 eV per atom.

---

Density functional theory data (meta-GGA SCAN) for LaMg2Pb at its PBEsol-relaxed geometry.

The structure in POSCAR format:
```
LaMg2Pb
1.0
3.391 0.000 0.000
1.696 2.937 0.000
1.696 0.979 10.909
La Mg Pb
1 2 1
Direct
0.249 0.249 0.254
0.007 0.007 0.980
0.751 0.751 0.748
0.494 0.494 0.518
```

The calculation puts the electronic total energy at -32.329 eV per atom.

---

Density functional theory data (meta-GGA SCAN) for LaMgPb3 at its PBEsol-relaxed geometry.

The structure in POSCAR format:
```
LaMgPb3
1.0
5.383 0.000 0.000
0.000 5.383 0.000
0.000 0.000 5.383
Mg Pb La
1 3 1
Direct
0.000 0.000 0.000
0.000 0.000 0.500
0.000 0.500 0.000
0.500 0.000 0.000
0.500 0.500 0.500
```

The calculation puts the electronic total energy at -55.239 eV per atom.

---

Density functional theory data (meta-GGA SCAN) for LaMgPb2 at its PBEsol-relaxed geometry.

The structure in POSCAR format:
```
LaMgPb2
1.0
-1.374 2.162 2.539
2.807 -2.040 3.257
4.771 4.530 -1.275
Mg Pb La
1 2 1
Direct
0.500 0.500 0.778
0.500 0.500 0.258
0.000 0.000 0.980
0.000 0.000 0.484
```

The calculation puts the electronic total energy at -50.252 eV per atom.

---

Density functional theory data (meta-GGA SCAN) for LaMgPb2 at its PBEsol-relaxed geometry.

The structure in POSCAR format:
```
LaMgPb2
1.0
-4.136 1.974 -2.989
-1.004 -2.050 -4.973
-4.461 -3.052 -0.851
La Pb Mg
1 2 1
Direct
0.500 0.500 0.500
0.000 0.000 0.000
0.750 0.750 0.750
0.250 0.250 0.250
```

The calculation puts the electronic total energy at -50.193 eV per atom.

---

Density functional theory data (meta-GGA SCAN) for LaMgPb2 at its PBEsol-relaxed geometry.

The structure in POSCAR format:
```
LaMgPb2
1.0
-0.992 3.455 -2.802
-4.677 -1.538 -0.240
-1.128 2.823 3.880
Pb Mg La
2 1 1
Direct
0.000 0.500 0.000
0.000 0.000 0.500
0.500 0.000 0.000
0.500 0.500 0.500
```

The calculation puts the electronic total energy at -50.521 eV per atom.

---

Density functional theory data (meta-GGA SCAN) for LaMg2Pb at its PBEsol-relaxed geometry.

The structure in POSCAR format:
```
LaMg2Pb
1.0
-1.427 2.889 1.112
-4.457 -2.609 1.059
2.313 -1.763 5.392
Mg Pb La
2 1 1
Direct
0.391 0.000 0.243
0.609 0.000 0.757
0.500 0.500 0.000
0.000 0.500 0.500
```

The calculation puts the electronic total energy at -32.484 eV per atom.

---

Density functional theory data (meta-GGA SCAN) for LaMgPb2 at its PBEsol-relaxed geometry.

The structure in POSCAR format:
```
LaMgPb2
1.0
3.835 0.000 0.000
0.000 3.835 0.000
0.000 0.000 7.453
Pb Mg La
2 1 1
Direct
0.000 0.000 0.717
0.000 0.000 0.283
0.500 0.500 0.500
0.500 0.500 0.000
```

The calculation puts the electronic total energy at -50.385 eV per atom.

---

Density functional theory data (meta-GGA SCAN) for La2MgTaPb at its PBEsol-relaxed geometry.

The structure in POSCAR format:
```
La2MgTaPb
1.0
5.465 0.000 0.000
0.000 5.550 0.000
0.000 0.000 5.550
La Pb Ta Mg
2 1 1 1
Direct
0.000 0.000 0.500
0.000 0.500 0.000
0.500 0.000 0.000
0.000 0.000 0.000
0.500 0.500 0.500
```

The calculation puts the electronic total energy at -46.408 eV per atom.

---

Density functional theory data (meta-GGA SCAN) for LaMgZr2Pb at its PBEsol-relaxed geometry.

The structure in POSCAR format:
```
LaMgZr2Pb
1.0
-4.618 -2.144 0.716
1.641 -4.299 -2.294
1.803 -2.123 5.270
La Zr Pb Mg
1 2 1 1
Direct
0.000 0.000 0.000
0.500 0.000 0.000
0.000 0.500 0.000
0.000 0.000 0.500
0.500 0.500 0.500
```

The calculation puts the electronic total energy at -35.921 eV per atom.

---

Density functional theory data (meta-GGA SCAN) for LaMg2Pd2 at its PBEsol-relaxed geometry.

The structure in POSCAR format:
```
LaMg2Pd2
1.0
-0.801 -0.261 4.022
-3.862 -1.121 -0.842
4.069 -5.262 -1.631
Mg Pd La
2 2 1
Direct
0.250 0.750 0.500
0.750 0.250 0.500
0.392 0.392 0.784
0.608 0.608 0.216
0.000 0.000 0.000
```

The calculation puts the electronic total energy at -24.475 eV per atom.

---

Density functional theory data (meta-GGA SCAN) for LaMgPd at its PBEsol-relaxed geometry.

The structure in POSCAR format:
```
LaMgPd
1.0
4.128 0.000 0.000
0.000 7.630 0.000
0.000 -3.815 6.608
La Mg Pd
3 3 3
Direct
0.500 0.584 0.584
0.500 0.416 0.000
0.500 0.000 0.416
0.000 0.000 0.763
0.000 0.237 0.237
0.000 0.763 0.000
0.500 0.000 0.000
0.000 0.333 0.667
0.000 0.667 0.333
```

The calculation puts the electronic total energy at -27.697 eV per atom.

---

Density functional theory data (meta-GGA SCAN) for LaMg3Pd at its PBEsol-relaxed geometry.

The structure in POSCAR format:
```
LaMg3Pd
1.0
5.812 0.000 0.000
0.000 5.812 0.000
0.000 0.000 5.812
Mg Pd La
3 1 1
Direct
0.500 0.000 0.000
0.000 0.000 0.500
0.000 0.500 0.000
0.500 0.500 0.500
0.000 0.000 0.000
```

The calculation puts the electronic total energy at -16.593 eV per atom.

---

Density functional theory data (meta-GGA SCAN) for LaPmMg2 at its PBEsol-relaxed geometry.

The structure in POSCAR format:
```
LaPmMg2
1.0
-4.535 -0.156 -3.035
-4.195 -3.145 1.521
-4.599 2.290 1.845
La Mg Pm
1 2 1
Direct
0.500 0.500 0.500
0.250 0.250 0.250
0.750 0.750 0.750
0.000 0.000 0.000
```

The calculation puts the electronic total energy at -24.384 eV per atom.

---

Density functional theory data (meta-GGA SCAN) for La2MgPt at its PBEsol-relaxed geometry.

The structure in POSCAR format:
```
La2MgPt
1.0
3.666 0.000 0.000
0.000 5.046 0.000
-1.833 -2.523 5.638
Mg La Pt
1 2 1
Direct
0.556 0.556 0.113
0.757 0.257 0.513
0.951 0.951 0.901
0.236 0.736 0.473
```

The calculation puts the electronic total energy at -41.020 eV per atom.

---

Density functional theory data (meta-GGA SCAN) for LaMgPt at its PBEsol-relaxed geometry.

The structure in POSCAR format:
```
LaMgPt
1.0
4.889 0.000 0.000
2.444 4.234 0.000
2.444 1.411 3.992
Mg Pt La
1 1 1
Direct
0.000 0.000 0.000
0.500 0.500 0.500
0.250 0.250 0.250
```

The calculation puts the electronic total energy at -39.529 eV per atom.

---

Density functional theory data (meta-GGA SCAN) for LaMg2Pt at its PBEsol-relaxed geometry.

The structure in POSCAR format:
```
LaMg2Pt
1.0
-2.645 -2.308 -3.404
-3.691 -2.917 1.334
-4.620 1.361 -0.845
La Pt Mg
1 1 2
Direct
0.000 0.000 0.000
0.500 0.500 0.500
0.250 0.250 0.250
0.750 0.750 0.750
```

The calculation puts the electronic total energy at -31.308 eV per atom.

---

Density functional theory data (meta-GGA SCAN) for La2MgPt at its PBEsol-relaxed geometry.

The structure in POSCAR format:
```
La2MgPt
1.0
4.424 0.000 0.000
0.000 4.424 0.000
-2.212 -2.212 5.019
Mg La Pt
1 2 1
Direct
0.500 0.500 0.000
0.000 0.000 0.000
0.750 0.250 0.500
0.250 0.750 0.500
```

The calculation puts the electronic total energy at -40.856 eV per atom.

---

Density functional theory data (meta-GGA SCAN) for LaMg2Pt2 at its PBEsol-relaxed geometry.

The structure in POSCAR format:
```
LaMg2Pt2
1.0
-0.161 1.339 -3.845
0.583 -3.801 -1.348
-6.368 0.309 2.533
Mg La Pt
2 1 2
Direct
0.750 0.250 0.500
0.250 0.750 0.500
0.000 0.000 0.000
0.392 0.392 0.783
0.608 0.608 0.217
```

The calculation puts the electronic total energy at -39.785 eV per atom.

---

Density functional theory data (meta-GGA SCAN) for LaMg4Pt at its PBEsol-relaxed geometry.

The structure in POSCAR format:
```
LaMg4Pt
1.0
-3.278 0.731 4.599
-4.155 -3.719 1.156
0.494 -3.532 4.440
Mg Pt La
4 1 1
Direct
0.871 0.376 0.376
0.376 0.376 0.871
0.376 0.871 0.376
0.376 0.376 0.376
0.750 0.750 0.750
0.000 0.000 0.000
```

The calculation puts the electronic total energy at -22.297 eV per atom.

---

Density functional theory data (meta-GGA SCAN) for LaMgPt at its PBEsol-relaxed geometry.

The structure in POSCAR format:
```
LaMgPt
1.0
-2.810 0.780 2.627
-3.091 0.103 -3.336
0.912 -3.912 2.136
Pt La Mg
1 1 1
Direct
0.500 0.667 0.333
0.000 0.000 0.000
0.500 0.333 0.667
```

The calculation puts the electronic total energy at -40.309 eV per atom.

---

Density functional theory data (meta-GGA SCAN) for RbLaMg2 at its PBEsol-relaxed geometry.

The structure in POSCAR format:
```
RbLaMg2
1.0
-2.486 -3.859 3.589
3.320 -3.570 3.191
0.358 0.735 5.769
Mg Rb La
2 1 1
Direct
0.250 0.250 0.250
0.750 0.750 0.750
0.000 0.000 0.000
0.500 0.500 0.500
```

The calculation puts the electronic total energy at -18.145 eV per atom.

---

Density functional theory data (meta-GGA SCAN) for LaMgRe2 at its PBEsol-relaxed geometry.

The structure in POSCAR format:
```
LaMgRe2
1.0
2.672 0.000 0.000
0.000 5.570 -0.007
0.000 -2.460 4.998
Re La Mg
2 1 1
Direct
0.000 0.500 0.000
0.000 0.000 0.500
0.500 0.000 0.000
0.500 0.500 0.500
```

The calculation puts the electronic total energy at -46.784 eV per atom.

---

Density functional theory data (meta-GGA SCAN) for LaMgRe2 at its PBEsol-relaxed geometry.

The structure in POSCAR format:
```
LaMgRe2
1.0
2.841 0.000 0.000
1.421 2.461 0.000
1.421 0.820 10.321
Re Mg La
2 1 1
Direct
0.242 0.242 0.275
0.758 0.758 0.725
0.500 0.500 0.500
0.000 0.000 0.000
```

The calculation puts the electronic total energy at -46.853 eV per atom.

---

Density functional theory data (meta-GGA SCAN) for LaMgRe2 at its PBEsol-relaxed geometry.

The structure in POSCAR format:
```
LaMgRe2
1.0
-1.719 3.219 -1.750
-3.595 -1.109 1.491
0.803 2.484 3.781
La Re Mg
1 2 1
Direct
0.500 0.500 0.500
0.500 0.000 0.000
0.000 0.500 0.000
0.000 0.000 0.500
```

The calculation puts the electronic total energy at -46.749 eV per atom.

---

Density functional theory data (meta-GGA SCAN) for La2MgRe at its PBEsol-relaxed geometry.

The structure in POSCAR format:
```
La2MgRe
1.0
-1.350 3.112 3.703
1.133 -1.122 4.762
3.490 2.658 2.444
Mg Re La
1 1 2
Direct
0.500 0.500 0.500
0.250 0.250 0.250
0.750 0.750 0.750
0.000 0.000 0.000
```

The calculation puts the electronic total energy at -40.176 eV per atom.

---

Number 1: formation energy from the elements -454.7 meV/atom. Number 2: formation energy from the elements -318.7 meV/atom. Number 3: formation energy from the elements -68.5 meV/atom. Number 4: formation energy from the elements 1107.7 meV/atom. Number 5: formation energy from the elements -524.9 meV/atom. Number 6: formation energy from the elements -120.2 meV/atom. Number 7: formation energy from the elements -154.3 meV/atom. Number 8: formation energy from the elements -341.4 meV/atom. Number 9: formation energy from the elements -282.7 meV/atom. Number 10: formation energy from the elements -610.8 meV/atom. Number 11: formation energy from the elements -275.3 meV/atom. Number 12: formation energy from the elements -475.1 meV/atom. Number 13: formation energy from the elements 301.1 meV/atom. Number 14: formation energy from the elements 1130.9 meV/atom. Number 15: formation energy from the elements -754.8 meV/atom. Number 16: formation energy from the elements -745.5 meV/atom. Number 17: formation energy from the elements 1567.5 meV/atom. Number 18: formation energy from the elements -124.7 meV/atom. Number 19: formation energy from the elements -675.7 meV/atom. Number 20: formation energy from the elements -105.4 meV/atom. Number 21: formation energy from the elements -496.6 meV/atom. Number 22: formation energy from the elements -511.7 meV/atom. Number 23: formation energy from the elements -1097.3 meV/atom. Number 24: formation energy from the elements -97.9 meV/atom. Number 25: formation energy from the elements -884.7 meV/atom. Number 26: formation energy from the elements 303.4 meV/atom. Number 27: formation energy from the elements 784.3 meV/atom. Number 28: formation energy from the elements 715.6 meV/atom. Number 29: formation energy from the elements 819.5 meV/atom. Number 30: formation energy from the elements 394.3 meV/atom.